Record 1
A relaxed structure of Na2LiPRh, computed with PBE.

POSCAR file:
```
Na2LiPRh
1.0
4.496 0.000 0.000
0.000 4.404 0.000
0.000 0.000 4.496
Li Na P Rh
1 2 1 1
direct
0.000 0.000 0.000
0.000 0.000 0.500
0.500 0.000 0.000
0.500 0.500 0.500
0.000 0.500 0.000
```

Results
- M_tot: 0.00 μB/f.u.
- Symmetry: P4/mmm (123)


Record 2
A relaxed structure of NaLiPS3, computed with PBE.

POSCAR file:
```
NaLiPS3
1.0
6.448 -0.474 0.537
2.603 5.918 0.537
3.075 1.850 7.036
Li P S Na
2 2 6 2
direct
0.302 0.698 0.500
0.698 0.302 0.500
0.965 0.965 0.165
0.035 0.035 0.835
0.260 0.260 0.619
0.294 0.840 0.175
0.160 0.706 0.825
0.840 0.294 0.175
0.706 0.160 0.825
0.740 0.740 0.381
0.694 0.694 0.808
0.306 0.306 0.192
```

Results
- M_tot: 0.00 μB/f.u.
- Symmetry: C2/m (12)


Record 3
A relaxed structure of NaLiP2S6, computed with PBE.

POSCAR file:
```
NaLiP2S6
1.0
-1.989 -4.551 -3.567
1.815 -7.023 5.071
-8.534 -0.343 2.319
S Na Li P
12 2 2 4
direct
0.514 0.404 0.302
0.622 0.146 0.580
0.878 0.420 0.854
0.204 0.968 0.797
0.014 0.302 0.404
0.122 0.580 0.146
0.704 0.797 0.968
0.486 0.596 0.698
0.796 0.032 0.203
0.986 0.698 0.596
0.378 0.854 0.420
0.296 0.203 0.032
0.750 0.113 0.887
0.250 0.887 0.113
0.250 0.270 0.730
0.750 0.730 0.270
0.229 0.367 0.202
0.729 0.202 0.367
0.771 0.633 0.798
0.271 0.798 0.633
```

Results
- M_tot: 0.00 μB/f.u.
- Symmetry: C2/c (15)


Record 4
A relaxed structure of NaLi2PSe4, computed with PBE.

POSCAR file:
```
NaLi2PSe4
1.0
6.005 0.001 -0.005
-0.001 6.005 -0.003
-3.000 -3.000 5.806
Se Na Li P
4 1 2 1
direct
0.429 0.859 0.251
0.080 0.042 0.692
0.822 0.392 0.251
0.613 0.650 0.692
0.986 0.486 0.972
0.236 0.236 0.472
0.486 0.986 0.972
0.736 0.736 0.472
```

Results
- M_tot: 0.00 μB/f.u.
- Symmetry: I-4 (82)


Record 5
A relaxed structure of NaLiPSe4, computed with PBE.

POSCAR file:
```
NaLiPSe4
1.0
-4.278 4.566 -2.203
-4.727 -2.899 3.172
3.387 3.271 8.037
Se Na P Li
8 2 2 2
direct
0.499 0.250 0.491
0.022 0.488 0.263
0.597 0.250 0.893
0.978 0.988 0.737
0.978 0.512 0.737
0.022 0.012 0.263
0.403 0.750 0.107
0.501 0.750 0.509
0.185 0.250 0.029
0.815 0.750 0.971
0.250 0.750 0.288
0.750 0.250 0.712
0.250 0.250 0.663
0.750 0.750 0.337
```

Results
- M_tot: 0.00 μB/f.u.
- Symmetry: P2_1/m (11)


Record 6
A relaxed structure of Na2LiPSe4, computed with PBE.

POSCAR file:
```
Na2LiPSe4
1.0
-2.860 -2.303 -6.209
6.617 -0.974 -2.696
-1.868 -2.032 5.810
Se Li Na P
4 1 2 1
direct
0.734 0.697 0.792
0.058 0.096 0.793
0.376 0.737 0.150
0.774 0.413 0.150
0.986 0.486 0.973
0.487 0.987 0.974
0.235 0.235 0.471
0.736 0.736 0.471
```

Results
- M_tot: 0.00 μB/f.u.
- Symmetry: C2 (5)


One value per record, in order, for energy: -14.521 -50.971 -87.747 -30.129 -52.235 -29.911 eV/cell.